# DyTh2Sc2

A geometry-optimized DyTh2Sc2 structure (PBE, Alexandria via LeMat-Bulk).

Output
space group	No. 14
relative energy among the computed polymorphs	0	meV per atom

The structure in POSCAR format:
```
DyTh2Sc2
1.0
6.005 0.000 0.655
0.000 6.870 0.000
6.608 0.000 14.753
Dy Sc Th
4 8 8
direct
0.347 0.121 0.300
0.153 0.621 0.700
0.847 0.379 0.300
0.653 0.879 0.700
0.353 0.626 0.300
0.055 0.371 0.901
0.147 0.126 0.700
0.555 0.129 0.901
0.445 0.871 0.099
0.647 0.374 0.700
0.945 0.629 0.099
0.853 0.874 0.300
0.743 0.125 0.502
0.757 0.625 0.498
0.257 0.875 0.498
0.041 0.874 0.902
0.243 0.375 0.502
0.959 0.126 0.098
0.541 0.626 0.902
0.459 0.374 0.098
```

***

# Dy7ThSc4

A geometry-optimized Dy7ThSc4 structure (PBE, Alexandria via LeMat-Bulk).

Output
space group	No. 2

The structure in POSCAR format:
```
Dy7ThSc4
1.0
-5.815 -2.649 -2.760
-5.540 -7.270 1.103
-4.431 2.743 6.805
Dy Sc Th
7 4 1
direct
0.027 0.717 0.338
0.249 0.499 0.995
0.500 0.000 0.000
0.777 0.222 0.335
0.973 0.283 0.662
0.751 0.501 0.005
0.223 0.778 0.665
0.284 0.216 0.343
0.476 0.270 0.666
0.716 0.784 0.657
0.524 0.730 0.334
0.000 0.000 0.000
```

***

# DyTh2Sc4

A geometry-optimized DyTh2Sc4 structure (PBE, Alexandria via LeMat-Bulk).

Output
space group	No. 65
relative energy among the computed polymorphs	55	meV per atom

The structure in POSCAR format:
```
DyTh2Sc4
1.0
5.355 0.000 0.000
0.000 3.604 0.000
0.000 -1.802 10.585
Th Sc Dy
2 4 1
direct
0.500 0.072 0.145
0.500 0.928 0.855
0.500 0.302 0.605
0.000 0.818 0.636
0.500 0.698 0.395
0.000 0.182 0.364
0.000 0.500 0.000
```

***

Number 1: E -6.375 eV/atom, energy of formation 0.046 eV per atom. Number 2: E -5.390 eV/atom, energy of formation 0.023 eV per atom. Number 3: E -6.152 eV/atom, energy of formation 0.244 eV per atom.